Record 1
# BeIrW3, optimized geometry, DFT GGA-PBEsol
# D(E_F) = 2.5 states/eV/f.u.
# ΔH_f (0 K) = 68 kJ/mol of atoms
# Calculated volume = 71 Å³/cell
data_BeIrW3
_symmetry_space_group_name_H-M 'P 1'
_symmetry_Int_Tables_number 1
_symmetry_space_group_name_Hall 'P 1'
_cell_length_a 4.1487
_cell_length_b 4.1487
_cell_length_c 4.1487
_cell_angle_alpha 90.00
_cell_angle_beta 90.00
_cell_angle_gamma 90.00
loop_
_atom_site_label
_atom_site_type_symbol
_atom_site_fract_x
_atom_site_fract_y
_atom_site_fract_z
_atom_site_occupancy
W1 W 0.0000 0.0000 0.5000 1
W2 W 0.5000 0.0000 0.0000 1
W3 W 0.0000 0.5000 0.0000 1
Be1 Be 0.0000 0.0000 0.0000 1
Ir1 Ir 0.5000 0.5000 0.5000 1



Record 2
# Y2BeIr, optimized geometry, DFT GGA-PBEsol
# D(E_F) = 2.6 states/eV/f.u.
# ΔH_f (0 K) = -16 kJ/mol of atoms
# Calculated volume = 71 Å³/cell
data_Y2BeIr
_symmetry_space_group_name_H-M 'P 1'
_symmetry_Int_Tables_number 1
_symmetry_space_group_name_Hall 'P 1'
_cell_length_a 4.6468
_cell_length_b 4.6468
_cell_length_c 4.6468
_cell_angle_alpha 60.00
_cell_angle_beta 60.00
_cell_angle_gamma 60.00
loop_
_atom_site_label
_atom_site_type_symbol
_atom_site_fract_x
_atom_site_fract_y
_atom_site_fract_z
_atom_site_occupancy
Ir1 Ir 0.2500 0.2500 0.2500 1
Be1 Be 0.5000 0.5000 0.5000 1
Y1 Y 0.0000 0.0000 0.0000 1
Y2 Y 0.7500 0.7500 0.7500 1



Record 3
# YBeIr2, optimized geometry, DFT GGA-PBEsol
# D(E_F) = 3.2 states/eV/f.u.
# ΔH_f (0 K) = -9 kJ/mol of atoms
# Calculated volume = 157 Å³/cell
data_YBeIr2
_symmetry_space_group_name_H-M 'P 1'
_symmetry_Int_Tables_number 1
_symmetry_space_group_name_Hall 'P 1'
_cell_length_a 4.5601
_cell_length_b 4.5601
_cell_length_c 8.2217
_cell_angle_alpha 106.10
_cell_angle_beta 106.10
_cell_angle_gamma 90.00
loop_
_atom_site_label
_atom_site_type_symbol
_atom_site_fract_x
_atom_site_fract_y
_atom_site_fract_z
_atom_site_occupancy
Be1 Be 0.7500 0.2500 0.5000 1
Be2 Be 0.5000 0.5000 0.0000 1
Ir1 Ir 0.7079 0.8750 0.2500 1
Ir2 Ir 0.5421 0.3750 0.2500 1
Ir3 Ir 0.6250 0.2921 0.7500 1
Ir4 Ir 0.1250 0.4579 0.7500 1
Y1 Y 0.0000 0.0000 0.0000 1
Y2 Y 0.2500 0.7500 0.5000 1



Record 4
# Y2BeIr, optimized geometry, DFT GGA-PBEsol
# D(E_F) = 2.2 states/eV/f.u.
# ΔH_f (0 K) = -50 kJ/mol of atoms
# Calculated volume = 82 Å³/cell
data_Y2BeIr
_symmetry_space_group_name_H-M 'P 1'
_symmetry_Int_Tables_number 1
_symmetry_space_group_name_Hall 'P 1'
_cell_length_a 3.9325
_cell_length_b 3.9745
_cell_length_c 5.6319
_cell_angle_alpha 110.66
_cell_angle_beta 90.00
_cell_angle_gamma 90.00
loop_
_atom_site_label
_atom_site_type_symbol
_atom_site_fract_x
_atom_site_fract_y
_atom_site_fract_z
_atom_site_occupancy
Ir1 Ir 0.5000 0.5676 0.1352 1
Y1 Y 0.5000 0.2666 0.5332 1
Y2 Y 0.0000 0.9850 0.9699 1
Be1 Be 0.0000 0.6799 0.3597 1



Record 5
# YBeIr2, optimized geometry, DFT GGA-PBEsol
# D(E_F) = 3.2 states/eV/f.u.
# ΔH_f (0 K) = -21 kJ/mol of atoms
# Calculated volume = 63 Å³/cell
data_YBeIr2
_symmetry_space_group_name_H-M 'P 1'
_symmetry_Int_Tables_number 1
_symmetry_space_group_name_Hall 'P 1'
_cell_length_a 2.8200
_cell_length_b 3.8009
_cell_length_c 5.8491
_cell_angle_alpha 90.00
_cell_angle_beta 90.00
_cell_angle_gamma 90.00
loop_
_atom_site_label
_atom_site_type_symbol
_atom_site_fract_x
_atom_site_fract_y
_atom_site_fract_z
_atom_site_occupancy
Be1 Be 0.5000 0.5000 0.8328 1
Ir1 Ir 0.5000 0.5000 0.2153 1
Ir2 Ir 0.0000 0.0000 0.9625 1
Y1 Y 0.0000 0.0000 0.4895 1



Record 6
# YBe2Ir, optimized geometry, DFT GGA-PBEsol
# D(E_F) = 2.5 states/eV/f.u.
# ΔH_f (0 K) = -43 kJ/mol of atoms
# Calculated volume = 63 Å³/cell
# Polymorph energy (0 for the lowest one) = 57.7 meV per atom
data_YBe2Ir
_symmetry_space_group_name_H-M 'P 1'
_symmetry_Int_Tables_number 1
_symmetry_space_group_name_Hall 'P 1'
_cell_length_a 3.8887
_cell_length_b 3.8887
_cell_length_c 5.3315
_cell_angle_alpha 68.61
_cell_angle_beta 68.61
_cell_angle_gamma 60.00
loop_
_atom_site_label
_atom_site_type_symbol
_atom_site_fract_x
_atom_site_fract_y
_atom_site_fract_z
_atom_site_occupancy
Be1 Be 0.7557 0.7557 0.7329 1
Be2 Be 0.0583 0.0583 0.8250 1
Y1 Y 0.2458 0.2458 0.2626 1
Ir1 Ir 0.4425 0.4425 0.6724 1



Record 7
# YBe2Ir, optimized geometry, DFT GGA-PBEsol
# D(E_F) = 2.8 states/eV/f.u.
# ΔH_f (0 K) = -49 kJ/mol of atoms
# Calculated volume = 61 Å³/cell
# Polymorph energy (0 for the lowest one) = 0.0 meV per atom
data_YBe2Ir
_symmetry_space_group_name_H-M 'P 1'
_symmetry_Int_Tables_number 1
_symmetry_space_group_name_Hall 'P 1'
_cell_length_a 3.8555
_cell_length_b 3.8555
_cell_length_c 5.2363
_cell_angle_alpha 68.40
_cell_angle_beta 68.40
_cell_angle_gamma 60.00
loop_
_atom_site_label
_atom_site_type_symbol
_atom_site_fract_x
_atom_site_fract_y
_atom_site_fract_z
_atom_site_occupancy
Y1 Y 0.0000 0.0000 0.0000 1
Ir1 Ir 0.5000 0.5000 0.5000 1
Be1 Be 0.8034 0.8034 0.5897 1
Be2 Be 0.1966 0.1966 0.4103 1



Record 8
# YBeIr2, optimized geometry, DFT GGA-PBEsol
# D(E_F) = 1.8 states/eV/f.u.
# ΔH_f (0 K) = -17 kJ/mol of atoms
# Calculated volume = 62 Å³/cell
data_YBeIr2
_symmetry_space_group_name_H-M 'P 1'
_symmetry_Int_Tables_number 1
_symmetry_space_group_name_Hall 'P 1'
_cell_length_a 3.0943
_cell_length_b 3.0943
_cell_length_c 6.5277
_cell_angle_alpha 90.00
_cell_angle_beta 90.00
_cell_angle_gamma 90.00
loop_
_atom_site_label
_atom_site_type_symbol
_atom_site_fract_x
_atom_site_fract_y
_atom_site_fract_z
_atom_site_occupancy
Be1 Be 0.5000 0.5000 0.8386 1
Y1 Y 0.0000 0.0000 0.4975 1
Ir1 Ir 0.5000 0.5000 0.2286 1
Ir2 Ir 0.0000 0.0000 0.9353 1



Record 9
# YBeIr2, optimized geometry, DFT GGA-PBEsol
# D(E_F) = 2.4 states/eV/f.u.
# ΔH_f (0 K) = -34 kJ/mol of atoms
# Calculated volume = 62 Å³/cell
data_YBeIr2
_symmetry_space_group_name_H-M 'P 1'
_symmetry_Int_Tables_number 1
_symmetry_space_group_name_Hall 'P 1'
_cell_length_a 2.9820
_cell_length_b 3.6830
_cell_length_c 5.8091
_cell_angle_alpha 90.00
_cell_angle_beta 103.70
_cell_angle_gamma 90.00
loop_
_atom_site_label
_atom_site_type_symbol
_atom_site_fract_x
_atom_site_fract_y
_atom_site_fract_z
_atom_site_occupancy
Ir1 Ir 0.8814 0.0000 0.7017 1
Ir2 Ir 0.1186 0.0000 0.2983 1
Be1 Be 0.5000 0.5000 0.5000 1
Y1 Y 0.5000 0.5000 0.0000 1



Record 10
# BeZnIr2, optimized geometry, DFT GGA-PBEsol
# D(E_F) = 1.1 states/eV/f.u.
# ΔH_f (0 K) = -24 kJ/mol of atoms
# Calculated volume = 50 Å³/cell
# Polymorph energy (0 for the lowest one) = 56.0 meV per atom
data_BeZnIr2
_symmetry_space_group_name_H-M 'P 1'
_symmetry_Int_Tables_number 1
_symmetry_space_group_name_Hall 'P 1'
_cell_length_a 2.7460
_cell_length_b 2.7460
_cell_length_c 7.8592
_cell_angle_alpha 79.94
_cell_angle_beta 79.94
_cell_angle_gamma 60.00
loop_
_atom_site_label
_atom_site_type_symbol
_atom_site_fract_x
_atom_site_fract_y
_atom_site_fract_z
_atom_site_occupancy
Ir1 Ir 0.2575 0.2575 0.2274 1
Ir2 Ir 0.7425 0.7425 0.7726 1
Be1 Be 0.0000 0.0000 0.0000 1
Zn1 Zn 0.5000 0.5000 0.5000 1



Record 11
# Be4ZnIr, optimized geometry, DFT GGA-PBEsol
# D(E_F) = 1.8 states/eV/f.u.
# ΔH_f (0 K) = -35 kJ/mol of atoms
# Calculated volume = 56 Å³/cell
data_Be4ZnIr
_symmetry_space_group_name_H-M 'P 1'
_symmetry_Int_Tables_number 1
_symmetry_space_group_name_Hall 'P 1'
_cell_length_a 4.3063
_cell_length_b 4.3063
_cell_length_c 4.3063
_cell_angle_alpha 60.00
_cell_angle_beta 60.00
_cell_angle_gamma 60.00
loop_
_atom_site_label
_atom_site_type_symbol
_atom_site_fract_x
_atom_site_fract_y
_atom_site_fract_z
_atom_site_occupancy
Be1 Be 0.3754 0.8737 0.3754 1
Be2 Be 0.8737 0.3754 0.3754 1
Be3 Be 0.3754 0.3754 0.3754 1
Be4 Be 0.3754 0.3754 0.8737 1
Ir1 Ir 0.7500 0.7500 0.7500 1
Zn1 Zn 0.0000 0.0000 0.0000 1



Record 12
# BeZnIr, optimized geometry, DFT GGA-PBEsol
# D(E_F) = 0.9 states/eV/f.u.
# ΔH_f (0 K) = -33 kJ/mol of atoms
# Calculated volume = 36 Å³/cell
data_BeZnIr
_symmetry_space_group_name_H-M 'P 1'
_symmetry_Int_Tables_number 1
_symmetry_space_group_name_Hall 'P 1'
_cell_length_a 2.8928
_cell_length_b 2.8928
_cell_length_c 4.7410
_cell_angle_alpha 107.76
_cell_angle_beta 107.76
_cell_angle_gamma 90.00
loop_
_atom_site_label
_atom_site_type_symbol
_atom_site_fract_x
_atom_site_fract_y
_atom_site_fract_z
_atom_site_occupancy
Ir1 Ir 0.6436 0.6436 0.2871 1
Be1 Be 0.0194 0.0194 0.0388 1
Zn1 Zn 0.3370 0.3370 0.6741 1



| no. | magnetic moment (μB/f.u.) |
| --- | --- |
| 1 | 0.0 |
| 2 | 0.0 |
| 3 | 0.0 |
| 4 | 0.0 |
| 5 | 0.0 |
| 6 | 0.0 |
| 7 | 0.0 |
| 8 | 0.0 |
| 9 | 0.0 |
| 10 | 0.0 |
| 11 | 0.0 |
| 12 | 0.0 |